(1)
The following is a GGA-PBE calculation of crystalline Pm8Ga3NiBr4 at its relaxed geometry, from Alexandria.

```
Pm8Ga3NiBr4
1.0
8.357 0.000 0.000
0.000 8.832 0.233
-4.179 -4.245 5.975
Pm Ga Ni Br
8 3 1 4
direct
0.230 0.715 0.985 Pm
0.231 0.717 0.462 Pm
0.256 0.266 0.511 Pm
0.755 0.715 0.985 Pm
0.245 0.285 0.015 Pm
0.744 0.734 0.489 Pm
0.769 0.283 0.538 Pm
0.770 0.285 0.015 Pm
0.500 0.500 0.000 Ga
0.500 0.500 0.500 Ga
0.000 0.500 0.500 Ga
0.000 0.500 0.000 Ni
0.500 0.000 0.000 Br
0.500 0.000 0.500 Br
0.000 0.000 0.000 Br
0.000 0.000 0.500 Br
```

Output
The crystal system is monoclinic. The symmetry is No. 12. The value obtained for the total DFT energy (no corrections) is -73.1 eV for the cell shown.

***

(2)
The following is a GGA-PBE calculation of crystalline Ba2Tl3Bi3 at its relaxed geometry, from Alexandria.

```
Ba2Tl3Bi3
1.0
1.198 3.619 -8.825
-6.238 -7.170 1.449
-2.771 2.546 0.668
Ba Tl Bi
2 3 3
direct
0.667 0.333 0.000 Ba
0.333 0.667 0.000 Ba
0.000 0.786 0.000 Tl
0.786 0.000 0.000 Tl
0.214 0.214 0.000 Tl
0.000 0.366 0.500 Bi
0.366 0.000 0.500 Bi
0.634 0.634 0.500 Bi
```

Output
The crystal system is hexagonal. The symmetry is No. 189. For the formation energy, the calculation gives -0.34 eV per atom.

***

(3)
The following is a GGA-PBE calculation of crystalline AcGa2HgGe at its relaxed geometry, from Alexandria.

```
AcGa2HgGe
1.0
-4.324 -0.676 -4.044
1.373 -5.777 -0.502
-3.902 1.423 8.324
Ac Ga Hg Ge
2 4 2 2
direct
0.756 0.756 0.513 Ac
0.256 0.256 0.513 Ac
0.182 0.682 0.864 Ga
0.682 0.682 0.864 Ga
0.682 0.182 0.864 Ga
0.182 0.182 0.864 Ga
0.060 0.060 0.119 Hg
0.560 0.560 0.119 Hg
0.820 0.320 0.640 Ge
0.320 0.820 0.640 Ge
```

Output
The crystal system is tetragonal. The symmetry is No. 99. For the formation energy, the calculation gives -0.20 eV per atom.

***

(4)
The following is a GGA-PBE calculation of crystalline LiCa2Ge3Au4 at its relaxed geometry, from Alexandria.

```
LiCa2Ge3Au4
1.0
-1.252 -3.346 2.566
4.208 -1.165 0.535
0.669 6.396 8.669
Li Ca Ge Au
1 2 3 4
direct
0.500 0.500 0.500 Li
0.500 0.000 0.241 Ca
0.000 0.500 0.759 Ca
0.000 0.000 0.500 Ge
0.500 0.000 0.862 Ge
0.000 0.500 0.138 Ge
0.500 0.500 0.000 Au
0.000 0.000 0.000 Au
0.500 0.000 0.630 Au
0.000 0.500 0.370 Au
```

Output
The crystal system is tetragonal. The symmetry is No. 115. For the formation energy, the calculation gives -0.52 eV per atom.

***

(5)
The following is a GGA-PBE calculation of crystalline CaErCo4 at its relaxed geometry, from Alexandria.

```
CaErCo4
1.0
-3.428 -3.689 -0.610
1.515 -4.711 -1.114
-0.408 -3.682 3.466
Ca Co Er
1 4 1
direct
0.000 0.000 0.000 Ca
0.624 0.624 0.127 Co
0.624 0.127 0.624 Co
0.624 0.624 0.624 Co
0.127 0.624 0.624 Co
0.250 0.250 0.250 Er
```

Output
The crystal system is cubic. The symmetry is No. 216. For the formation energy, the calculation gives -0.06 eV per atom.

***

(6)
The following is a GGA-PBE calculation of crystalline Ga2Mo2Rh at its relaxed geometry, from Alexandria.

```
Ga2Mo2Rh
1.0
6.451 0.000 0.000
0.000 6.451 0.000
0.000 0.000 3.670
Mo Rh Ga
4 2 4
direct
0.166 0.666 0.500 Mo
0.666 0.834 0.500 Mo
0.834 0.334 0.500 Mo
0.334 0.166 0.500 Mo
0.000 0.000 0.000 Rh
0.500 0.500 0.000 Rh
0.364 0.864 0.000 Ga
0.864 0.636 0.000 Ga
0.636 0.136 0.000 Ga
0.136 0.364 0.000 Ga
```

Output
The crystal system is tetragonal. The symmetry is No. 127. For the formation energy, the calculation gives -0.01 eV per atom.

***

(7)
The following is a GGA-PBE calculation of crystalline LiTcIr2 at its relaxed geometry, from Alexandria.

```
LiTcIr2
1.0
-2.337 -2.278 -2.774
1.872 -1.801 -3.406
0.453 -4.255 -0.195
Ir Li Tc
2 1 1
direct
0.000 0.000 0.000 Ir
0.250 0.250 0.250 Ir
0.500 0.500 0.500 Li
0.750 0.750 0.750 Tc
```

Output
The crystal system is cubic. The symmetry is No. 216. For the formation energy, the calculation gives 0.15 eV per atom.

***

(8)
The following is a GGA-PBE calculation of crystalline Nd4Mg3Au at its relaxed geometry, from Alexandria.

```
Nd4Mg3Au
1.0
3.853 0.000 0.000
0.000 3.853 0.000
0.000 0.000 15.221
Au Mg Nd
1 3 4
direct
0.500 0.500 0.000 Au
0.500 0.500 0.247 Mg
0.500 0.500 0.500 Mg
0.500 0.500 0.753 Mg
0.000 0.000 0.885 Nd
0.000 0.000 0.115 Nd
0.000 0.000 0.371 Nd
0.000 0.000 0.629 Nd
```

Output
The crystal system is tetragonal. The symmetry is No. 123. For the formation energy, the calculation gives -0.27 eV per atom.

***

(9)
The following is a GGA-PBE calculation of crystalline CrCoTc2N at its relaxed geometry, from Alexandria.

```
CrCoTc2N
1.0
-3.463 -1.930 0.528
1.151 -2.785 -2.631
1.550 -2.013 2.809
Cr Co Tc N
1 1 2 1
direct
0.000 0.000 0.500 Cr
0.500 0.500 0.500 Co
0.000 0.500 0.000 Tc
0.500 0.000 0.000 Tc
0.000 0.000 0.000 N
```

Output
The crystal system is tetragonal. The symmetry is No. 123. The value obtained for the total DFT energy (no corrections) is -45.6 eV for the cell shown.

***

(10)
The following is a GGA-PBE calculation of crystalline Tc3BiW at its relaxed geometry, from Alexandria.

```
Tc3BiW
1.0
4.813 0.000 0.000
0.000 4.813 0.000
0.000 0.000 4.813
Bi W Tc
1 1 3
direct
0.000 0.000 0.000 Bi
0.500 0.500 0.500 W
0.000 0.500 0.000 Tc
0.000 0.000 0.500 Tc
0.500 0.000 0.000 Tc
```

Output
The crystal system is cubic. The symmetry is No. 221. For the formation energy, the calculation gives 2.83 eV per atom.

***

(11)
The following is a GGA-PBE calculation of crystalline In2ReRh at its relaxed geometry, from Alexandria.

```
In2ReRh
1.0
-0.211 1.090 -2.847
2.952 -3.190 -1.440
-3.902 -3.190 -0.932
In Re Rh
2 1 1
direct
0.000 0.000 0.000 In
0.500 0.000 0.500 In
0.500 0.500 0.000 Re
0.000 0.500 0.500 Rh
```

Output
The crystal system is orthorhombic. The symmetry is No. 47. For the formation energy, the calculation gives 0.44 eV per atom.

***

(12)
The following is a GGA-PBE calculation of crystalline AlSBr2 at its relaxed geometry, from Alexandria.

```
AlSBr2
1.0
-9.111 3.498 1.071
-7.230 6.051 2.739
-7.612 6.146 -0.822
S Al Br
1 1 2
direct
0.000 0.000 0.000 S
0.500 0.500 0.500 Al
0.891 0.891 0.891 Br
0.109 0.109 0.109 Br
```

Output
The crystal system is trigonal. The symmetry is No. 166. The value obtained for the total DFT energy (no corrections) is -10.5 eV for the cell shown.

***

(13)
The following is a GGA-PBE calculation of crystalline Ca2B2Pt5Au at its relaxed geometry, from Alexandria.

```
Ca2B2Pt5Au
1.0
-2.022 0.673 -2.511
-5.231 -7.946 2.081
-5.634 5.266 5.947
Ca B Pt Au
4 4 10 2
direct
0.000 0.677 0.177 Ca
0.000 0.323 0.823 Ca
0.000 0.177 0.323 Ca
0.000 0.823 0.677 Ca
0.000 0.123 0.623 B
0.000 0.877 0.377 B
0.000 0.623 0.877 B
0.000 0.377 0.123 B
0.500 0.225 0.070 Pt
0.500 0.775 0.930 Pt
0.500 0.070 0.775 Pt
0.500 0.725 0.430 Pt
0.500 0.930 0.225 Pt
0.500 0.275 0.570 Pt
0.500 0.570 0.725 Pt
0.500 0.430 0.275 Pt
0.500 0.500 0.000 Pt
0.500 0.000 0.500 Pt
0.000 0.000 0.000 Au
0.000 0.500 0.500 Au
```

Output
The crystal system is tetragonal. The symmetry is No. 127. For the formation energy, the calculation gives -0.59 eV per atom.

***

(14)
The following is a GGA-PBE calculation of crystalline OsAu2Br at its relaxed geometry, from Alexandria.

```
OsAu2Br
1.0
-5.424 1.430 7.888
-3.559 -0.693 8.974
-2.727 2.218 9.018
Os Au Br
1 2 1
direct
0.750 0.750 0.750 Os
0.008 0.008 0.008 Au
0.259 0.259 0.259 Au
0.483 0.483 0.483 Br
```

Output
The crystal system is trigonal. The symmetry is No. 160. The value obtained for the total DFT energy (no corrections) is -16.8 eV for the cell shown.

***

(15)
The following is a GGA-PBE calculation of crystalline KReAu at its relaxed geometry, from Alexandria.

```
KReAu
1.0
5.213 0.000 0.000
2.606 4.515 0.000
2.606 1.505 4.256
Au K Re
1 1 1
direct
0.500 0.500 0.500 Au
0.750 0.750 0.750 K
0.000 0.000 0.000 Re
```

Output
The crystal system is cubic. The symmetry is No. 216. For the formation energy, the calculation gives 2.27 eV per atom.

***

(16)
The following is a GGA-PBE calculation of crystalline RhSe2Cl at its relaxed geometry, from Alexandria.

```
RhSe2Cl
1.0
-2.824 1.793 0.771
-0.877 0.047 -3.319
-3.561 -5.978 0.857
Cl Rh Se
1 1 2
direct
0.000 0.000 0.556 Cl
0.500 0.500 0.814 Rh
0.000 0.000 0.960 Se
0.500 0.500 0.170 Se
```

Output
The crystal system is tetragonal. The symmetry is No. 99. The value obtained for the total DFT energy (no corrections) is -15.5 eV for the cell shown.

***

(17)
The following is a GGA-PBE calculation of crystalline Na5Be2Se5 at its relaxed geometry, from Alexandria.

```
Na5Be2Se5
1.0
3.648 0.000 0.000
-1.824 6.579 -1.799
0.000 -0.059 10.770
Na Be Se
5 2 5
direct
0.500 0.000 0.500 Na
0.668 0.335 0.081 Na
0.778 0.556 0.374 Na
0.222 0.444 0.626 Na
0.332 0.665 0.919 Na
0.039 0.078 0.802 Be
0.961 0.922 0.198 Be
0.105 0.210 0.359 Se
0.639 0.278 0.795 Se
0.361 0.722 0.205 Se
0.895 0.790 0.641 Se
0.000 0.000 0.000 Se
```

Output
The crystal system is monoclinic. The symmetry is No. 12. The value obtained for the total DFT energy (no corrections) is -41.7 eV for the cell shown.

***

(18)
The following is a GGA-PBE calculation of crystalline OsS2ClO at its relaxed geometry, from Alexandria.

```
OsS2ClO
1.0
-1.529 1.820 3.370
-3.829 -0.826 -1.291
0.109 -3.746 2.072
S Os O Cl
2 1 1 1
direct
0.000 0.500 0.000 S
0.500 0.000 0.000 S
0.500 0.500 0.500 Os
0.000 0.000 0.000 O
0.000 0.000 0.500 Cl
```

Output
The crystal system is tetragonal. The symmetry is No. 123. The value obtained for the total DFT energy (no corrections) is -18.8 eV for the cell shown.

***

(19)
The following is a GGA-PBE calculation of crystalline CdBiOsO6 at its relaxed geometry, from Alexandria.

```
CdBiOsO6
1.0
-1.940 5.216 -0.743
-0.281 -3.724 -4.193
-8.306 -2.672 2.930
Cd Bi Os O
2 2 2 12
direct
0.000 0.000 0.000 Cd
0.000 0.000 0.500 Cd
0.333 0.667 0.250 Bi
0.667 0.333 0.750 Bi
0.667 0.333 0.250 Os
0.333 0.667 0.750 Os
0.665 0.617 0.133 O
0.951 0.335 0.133 O
0.335 0.951 0.633 O
0.049 0.665 0.867 O
0.383 0.335 0.367 O
0.951 0.617 0.367 O
0.617 0.951 0.867 O
0.665 0.049 0.367 O
0.049 0.383 0.633 O
0.383 0.049 0.133 O
0.617 0.665 0.633 O
0.335 0.383 0.867 O
```

Output
The crystal system is trigonal. The symmetry is No. 163. The value obtained for the total DFT energy (no corrections) is -109.9 eV for the cell shown.

***

(20)
The following is a GGA-PBE calculation of crystalline AcPa2Ga6 at its relaxed geometry, from Alexandria.

```
AcPa2Ga6
1.0
-3.471 -0.799 0.699
2.165 -7.153 2.578
-0.381 6.073 5.047
Ac Pa Ga
1 2 6
direct
0.000 0.000 0.000 Ac
0.000 0.333 0.667 Pa
0.000 0.667 0.333 Pa
0.500 0.342 0.342 Ga
0.500 0.658 0.658 Ga
0.500 0.000 0.658 Ga
0.500 0.658 0.000 Ga
0.500 0.342 0.000 Ga
0.500 0.000 0.342 Ga
```

Output
The crystal system is hexagonal. The symmetry is No. 191. For the formation energy, the calculation gives -0.34 eV per atom.

***

(21)
The following is a GGA-PBE calculation of crystalline RbVCl4 at its relaxed geometry, from Alexandria.

```
RbVCl4
1.0
5.828 -0.585 -2.190
-0.294 6.652 -2.558
-1.924 0.217 10.727
Rb V Cl
2 2 8
direct
0.141 0.176 0.352 Rb
0.859 0.824 0.648 Rb
0.683 0.407 0.814 V
0.317 0.593 0.186 V
0.793 0.320 0.640 Cl
0.608 0.404 0.283 Cl
0.000 0.283 0.000 Cl
0.392 0.121 0.717 Cl
0.207 0.680 0.360 Cl
0.392 0.596 0.717 Cl
0.000 0.717 0.000 Cl
0.608 0.879 0.283 Cl
```

Output
The crystal system is monoclinic. The symmetry is No. 12. The value obtained for the total DFT energy (no corrections) is -52.1 eV for the cell shown.

***

(22)
The following is a GGA-PBE calculation of crystalline LiY2Ni2 at its relaxed geometry, from Alexandria.

```
LiY2Ni2
1.0
-2.217 -0.317 -7.575
3.530 -7.027 -0.739
-2.785 -1.492 0.878
Y Ni Li
4 4 2
direct
0.347 0.847 0.000 Y
0.847 0.653 0.000 Y
0.653 0.153 0.000 Y
0.153 0.347 0.000 Y
0.137 0.637 0.500 Ni
0.637 0.863 0.500 Ni
0.863 0.363 0.500 Ni
0.363 0.137 0.500 Ni
0.000 0.000 0.000 Li
0.500 0.500 0.000 Li
```

Output
The crystal system is tetragonal. The symmetry is No. 127. For the formation energy, the calculation gives -0.10 eV per atom.

***

(23)
The following is a GGA-PBE calculation of crystalline TbErPuTl at its relaxed geometry, from Alexandria.

```
TbErPuTl
1.0
5.406 0.000 0.000
2.703 4.682 0.000
2.703 1.561 4.414
Tl Er Tb Pu
1 1 1 1
direct
0.000 0.000 0.000 Tl
0.750 0.750 0.750 Er
0.250 0.250 0.250 Tb
0.500 0.500 0.500 Pu
```

Output
The crystal system is cubic. The symmetry is No. 216. For the formation energy, the calculation gives 0.05 eV per atom.

***

(24)
The following is a GGA-PBE calculation of crystalline KAg2Ir at its relaxed geometry, from Alexandria.

```
KAg2Ir
1.0
-2.847 3.864 -1.309
-4.434 1.622 -1.568
-2.430 1.010 6.135
Ag Ir K
2 1 1
direct
0.014 0.014 0.932 Ag
0.486 0.486 0.568 Ag
0.750 0.750 0.750 Ir
0.250 0.250 0.250 K
```

Output
The crystal system is monoclinic. The symmetry is No. 12. For the formation energy, the calculation gives 0.49 eV per atom.

***

(25)
The following is a GGA-PBE calculation of crystalline NaTaCu3 at its relaxed geometry, from Alexandria.

```
NaTaCu3
1.0
-0.547 4.858 -0.245
-0.889 -0.342 -4.801
-4.782 -0.492 0.921
Na Cu Ta
1 3 1
direct
0.500 0.500 0.500 Na
0.000 0.500 0.000 Cu
0.000 0.000 0.500 Cu
0.500 0.000 0.000 Cu
0.000 0.000 0.000 Ta
```

Output
The crystal system is cubic. The symmetry is No. 221. For the formation energy, the calculation gives 1.10 eV per atom.